Version one
DFT (PBE) results for an optimized crystal structure of Dy2BiPd.

The structure in CIF format:
```
data_Dy2BiPd
_symmetry_space_group_name_H-M 'R -3 m'
_symmetry_Int_Tables_number 166
_symmetry_space_group_name_Hall '-R 3 2"'
_cell_length_a 5.2291
_cell_length_b 5.2291
_cell_length_c 12.7509
_cell_angle_alpha 90.00
_cell_angle_beta 90.00
_cell_angle_gamma 120.00
loop_
_atom_site_label
_atom_site_fract_x
_atom_site_fract_y
_atom_site_fract_z
Dy1 0.0000 0.0000 0.2503
Bi1 0.0000 0.0000 0.0000
Pd1 0.0000 0.0000 0.5000
```

---

Version two
DFT (PBE) results for an optimized crystal structure of Dy2BiPd.

The structure in CIF format:
```
data_Dy2BiPd
_symmetry_space_group_name_H-M 'P 4/m m m'
_symmetry_Int_Tables_number 123
_symmetry_space_group_name_Hall '-P 4 2'
_cell_length_a 3.6834
_cell_length_b 3.6834
_cell_length_c 7.4889
_cell_angle_alpha 90.00
_cell_angle_beta 90.00
_cell_angle_gamma 90.00
loop_
_atom_site_label
_atom_site_fract_x
_atom_site_fract_y
_atom_site_fract_z
Dy1 0.0000 0.0000 0.2207
Bi1 0.5000 0.5000 0.5000
Pd1 0.5000 0.5000 0.0000
```

---

Energetically preferred structure: version two | next structure: +59 meV/atom

---

Version one
DFT (PBE) results for an optimized crystal structure of Dy4BiPd.

The structure in CIF format:
```
data_Dy4BiPd
_symmetry_space_group_name_H-M 'C m c m'
_symmetry_Int_Tables_number 63
_symmetry_space_group_name_Hall '-C 2c 2'
_cell_length_a 5.5285
_cell_length_b 20.1823
_cell_length_c 6.3872
_cell_angle_alpha 90.00
_cell_angle_beta 90.00
_cell_angle_gamma 90.00
loop_
_atom_site_label
_atom_site_fract_x
_atom_site_fract_y
_atom_site_fract_z
Dy1 0.0000 0.0507 0.2500
Dy2 0.0000 0.2026 0.0015
Dy3 0.0000 0.3888 0.2500
Bi1 0.0000 0.3521 0.7500
Pd1 0.0000 0.0836 0.7500
```

---

Version two
DFT (PBE) results for an optimized crystal structure of Dy4BiPd.

The structure in CIF format:
```
data_Dy4BiPd
_symmetry_space_group_name_H-M 'P 1 21/m 1'
_symmetry_Int_Tables_number 11
_symmetry_space_group_name_Hall '-P 2yb'
_cell_length_a 6.1545
_cell_length_b 6.6646
_cell_length_c 8.8551
_cell_angle_alpha 90.00
_cell_angle_beta 110.29
_cell_angle_gamma 90.00
loop_
_atom_site_label
_atom_site_fract_x
_atom_site_fract_y
_atom_site_fract_z
Dy1 0.0062 0.0011 0.2093
Dy2 0.3941 0.2500 0.6164
Dy3 0.4276 0.2500 0.0923
Bi1 0.2108 0.7500 0.5479
Pd1 0.2578 0.7500 0.0675
```

---

Energetically preferred structure: version two | next structure: +135 meV/atom

---

Version one
DFT (PBE) results for an optimized crystal structure of PmDy2Bi.

The structure in CIF format:
```
data_PmDy2Bi
_symmetry_space_group_name_H-M 'P 4/m m m'
_symmetry_Int_Tables_number 123
_symmetry_space_group_name_Hall '-P 4 2'
_cell_length_a 4.0543
_cell_length_b 4.0543
_cell_length_c 7.4505
_cell_angle_alpha 90.00
_cell_angle_beta 90.00
_cell_angle_gamma 90.00
loop_
_atom_site_label
_atom_site_fract_x
_atom_site_fract_y
_atom_site_fract_z
Pm1 0.0000 0.0000 0.0000
Dy1 0.5000 0.5000 0.2750
Bi1 0.0000 0.0000 0.5000
```

---

Version two
DFT (PBE) results for an optimized crystal structure of PmDy2Bi.

The structure in CIF format:
```
data_PmDy2Bi
_symmetry_space_group_name_H-M 'F m -3 m'
_symmetry_Int_Tables_number 225
_symmetry_space_group_name_Hall '-F 4 2 3'
_cell_length_a 7.7900
_cell_length_b 7.7900
_cell_length_c 7.7900
_cell_angle_alpha 90.00
_cell_angle_beta 90.00
_cell_angle_gamma 90.00
loop_
_atom_site_label
_atom_site_fract_x
_atom_site_fract_y
_atom_site_fract_z
Pm1 0.0000 0.0000 0.0000
Dy1 0.2500 0.2500 0.2500
Bi1 0.0000 0.0000 0.5000
```

---

Energetically preferred structure: version one | next structure: +185 meV/atom

---

Version one
DFT (PBE) results for an optimized crystal structure of PmDy2Bi.

The structure in CIF format:
```
data_PmDy2Bi
_symmetry_space_group_name_H-M 'R 3 m'
_symmetry_Int_Tables_number 160
_symmetry_space_group_name_Hall 'R 3 -2"'
_cell_length_a 4.0597
_cell_length_b 4.0597
_cell_length_c 28.8389
_cell_angle_alpha 90.00
_cell_angle_beta 90.00
_cell_angle_gamma 120.00
loop_
_atom_site_label
_atom_site_fract_x
_atom_site_fract_y
_atom_site_fract_z
Pm1 0.0000 0.0000 0.0000
Dy1 0.0000 0.0000 0.2367
Dy2 0.0000 0.0000 0.4309
Bi1 0.0000 0.0000 0.8341
```

---

Version two
DFT (PBE) results for an optimized crystal structure of PmDy2Bi.

The structure in CIF format:
```
data_PmDy2Bi
_symmetry_space_group_name_H-M 'P 1 21/m 1'
_symmetry_Int_Tables_number 11
_symmetry_space_group_name_Hall '-P 2yb'
_cell_length_a 4.6681
_cell_length_b 4.6342
_cell_length_c 11.8117
_cell_angle_alpha 90.00
_cell_angle_beta 101.41
_cell_angle_gamma 90.00
loop_
_atom_site_label
_atom_site_fract_x
_atom_site_fract_y
_atom_site_fract_z
Pm1 0.1941 0.2500 0.3872
Dy1 0.0591 0.7500 0.1181
Dy2 0.4417 0.7500 0.8833
Bi1 0.3342 0.2500 0.6699
```

---

Energetically preferred structure: version two | next structure: +282 meV/atom

---

Version one
DFT (PBE) results for an optimized crystal structure of Pm3DyBi3.

The structure in CIF format:
```
data_Pm3DyBi3
_symmetry_space_group_name_H-M 'P 21 3'
_symmetry_Int_Tables_number 198
_symmetry_space_group_name_Hall 'P 2ac 2ab 3'
_cell_length_a 9.5714
_cell_length_b 9.5714
_cell_length_c 9.5714
_cell_angle_alpha 90.00
_cell_angle_beta 90.00
_cell_angle_gamma 90.00
loop_
_atom_site_label
_atom_site_fract_x
_atom_site_fract_y
_atom_site_fract_z
Pm1 0.0686 0.4314 0.5686
Pm2 0.1766 0.8234 0.3234
Pm3 0.1781 0.1781 0.1781
Dy1 0.0733 0.5733 0.9267
Bi1 0.0015 0.2548 0.8726
```

---

Version two
DFT (PBE) results for an optimized crystal structure of Pm3DyBi3.

The structure in CIF format:
```
data_Pm3DyBi3
_symmetry_space_group_name_H-M 'R -3'
_symmetry_Int_Tables_number 148
_symmetry_space_group_name_Hall '-R 3'
_cell_length_a 9.2865
_cell_length_b 9.2865
_cell_length_c 19.2097
_cell_angle_alpha 90.00
_cell_angle_beta 90.00
_cell_angle_gamma 120.00
loop_
_atom_site_label
_atom_site_fract_x
_atom_site_fract_y
_atom_site_fract_z
Pm1 0.0031 0.7425 0.0844
Dy1 0.0000 0.0000 0.3328
Bi1 0.0029 0.6109 0.9186
```

---

Energetically preferred structure: version one | next structure: +88 meV/atom

---

Version one
DFT (PBE) results for an optimized crystal structure of Pr2DyBi.

The structure in CIF format:
```
data_Pr2DyBi
_symmetry_space_group_name_H-M 'P 4/m m m'
_symmetry_Int_Tables_number 123
_symmetry_space_group_name_Hall '-P 4 2'
_cell_length_a 4.3495
_cell_length_b 4.3495
_cell_length_c 6.9172
_cell_angle_alpha 90.00
_cell_angle_beta 90.00
_cell_angle_gamma 90.00
loop_
_atom_site_label
_atom_site_fract_x
_atom_site_fract_y
_atom_site_fract_z
Pr1 0.0000 0.0000 0.2371
Dy1 0.5000 0.5000 0.5000
Bi1 0.5000 0.5000 0.0000
```

---

Version two
DFT (PBE) results for an optimized crystal structure of Pr2DyBi.

The structure in CIF format:
```
data_Pr2DyBi
_symmetry_space_group_name_H-M 'R 3 m'
_symmetry_Int_Tables_number 160
_symmetry_space_group_name_Hall 'R 3 -2"'
_cell_length_a 4.1796
_cell_length_b 4.1796
_cell_length_c 29.1097
_cell_angle_alpha 90.00
_cell_angle_beta 90.00
_cell_angle_gamma 120.00
loop_
_atom_site_label
_atom_site_fract_x
_atom_site_fract_y
_atom_site_fract_z
Pr1 0.0000 0.0000 0.0000
Pr2 0.0000 0.0000 0.1903
Dy1 0.0000 0.0000 0.7620
Bi1 0.0000 0.0000 0.5952
```

---

Energetically preferred structure: version one | next structure: +198 meV/atom